# PBE-GGA TbTlTe3Pt, optimized geometry
# Energy above the lowest structure with this stoichiometry in meV per atom: 22
# Total magnetization in Bohr magnetons per cell: 0.005
data_TbTlTe3Pt
_symmetry_space_group_name_H-M 'P 1 21/m 1'
_symmetry_Int_Tables_number 11
_symmetry_space_group_name_Hall '-P 2yb'
_cell_length_a 8.9086
_cell_length_b 4.1654
_cell_length_c 11.0653
_cell_angle_alpha 90.00
_cell_angle_beta 111.43
_cell_angle_gamma 90.00
loop_
_atom_site_label
_atom_site_fract_x
_atom_site_fract_y
_atom_site_fract_z
Tb1 0.1962 0.2500 0.1517
Tl1 0.2309 0.7500 0.7038
Te1 0.0640 0.2500 0.8561
Te2 0.2914 0.2500 0.4658
Te3 0.4537 0.7500 0.1513
Pt1 0.3955 0.7500 0.3708



# PBE-GGA TbThPt, optimized geometry
# Energy above the lowest structure with this stoichiometry in meV per atom: 0
# Total magnetization in Bohr magnetons per cell: 0.021
data_TbThPt
_symmetry_space_group_name_H-M 'F -4 3 m'
_symmetry_Int_Tables_number 216
_symmetry_space_group_name_Hall 'F -4 2 3'
_cell_length_a 7.0176
_cell_length_b 7.0176
_cell_length_c 7.0176
_cell_angle_alpha 90.00
_cell_angle_beta 90.00
_cell_angle_gamma 90.00
loop_
_atom_site_label
_atom_site_fract_x
_atom_site_fract_y
_atom_site_fract_z
Tb1 0.0000 0.0000 0.0000
Th1 0.0000 0.0000 0.5000
Pt1 0.2500 0.2500 0.2500



# PBE-GGA TbTlPt4, optimized geometry
# Total magnetization in Bohr magnetons per cell: 0.025
# Uncorrected energy in eV for the cell shown: -142.2
data_TbTlPt4
_symmetry_space_group_name_H-M 'F -4 3 m'
_symmetry_Int_Tables_number 216
_symmetry_space_group_name_Hall 'F -4 2 3'
_cell_length_a 7.6779
_cell_length_b 7.6779
_cell_length_c 7.6779
_cell_angle_alpha 90.00
_cell_angle_beta 90.00
_cell_angle_gamma 90.00
loop_
_atom_site_label
_atom_site_fract_x
_atom_site_fract_y
_atom_site_fract_z
Tb1 0.0000 0.0000 0.0000
Tl1 0.2500 0.2500 0.7500
Pt1 0.1247 0.1247 0.3753



# PBE-GGA TbYPt4, optimized geometry
# Total magnetization in Bohr magnetons per cell: 0.000
# Uncorrected energy in eV for the cell shown: -167.6
data_TbYPt4
_symmetry_space_group_name_H-M 'F -4 3 m'
_symmetry_Int_Tables_number 216
_symmetry_space_group_name_Hall 'F -4 2 3'
_cell_length_a 7.6817
_cell_length_b 7.6817
_cell_length_c 7.6817
_cell_angle_alpha 90.00
_cell_angle_beta 90.00
_cell_angle_gamma 90.00
loop_
_atom_site_label
_atom_site_fract_x
_atom_site_fract_y
_atom_site_fract_z
Tb1 0.0000 0.0000 0.0000
Y1 0.2500 0.2500 0.2500
Pt1 0.1250 0.1250 0.6250